No. 1
{"formula": "KVAg2Cl6", "functional": "GGA-PBE", "state": "relaxed", "space_group": "No. 1", "formation_energy_uncorrected_ev_per_atom": -1.0338, "lattice": [[6.951, 0.000, 0.000], [-3.473, 6.028, 0.000], [-3.471, -2.004, 6.175]], "species": ["K", "V", "Ag", "Ag", "Cl", "Cl", "Cl", "Cl", "Cl", "Cl"], "frac_coords": [[0.000, 0.000, 0.000], [0.973, 0.487, 0.460], [0.553, 0.276, 0.829], [0.596, 0.799, 0.394], [0.104, 0.439, 0.225], [0.118, 0.269, 0.676], [0.407, 0.849, 0.676], [0.561, 0.122, 0.225], [0.786, 0.665, 0.225], [0.828, 0.559, 0.676]]}

***

No. 2
{"formula": "K3V2AgCl9", "functional": "GGA-PBE", "state": "relaxed", "space_group": "No. 164", "formation_energy_uncorrected_ev_per_atom": -1.3872, "lattice": [[7.113, 0.000, 0.000], [-3.557, 6.160, 0.000], [0.000, 0.000, 8.816]], "species": ["K", "K", "K", "V", "V", "Ag", "Cl", "Cl", "Cl", "Cl", "Cl", "Cl", "Cl", "Cl", "Cl"], "frac_coords": [[0.000, 0.000, 0.000], [0.333, 0.667, 0.652], [0.667, 0.333, 0.348], [0.333, 0.667, 0.161], [0.667, 0.333, 0.839], [0.000, 0.000, 0.500], [0.000, 0.500, 0.000], [0.174, 0.349, 0.316], [0.174, 0.826, 0.316], [0.349, 0.174, 0.684], [0.500, 0.000, 0.000], [0.500, 0.500, 0.000], [0.651, 0.826, 0.316], [0.826, 0.174, 0.684], [0.826, 0.651, 0.684]]}

***

No. 3
{"formula": "KAgWCl2", "functional": "GGA-PBE", "state": "relaxed", "space_group": "No. 123", "formation_energy_uncorrected_ev_per_atom": 0.6421, "lattice": [[5.412, 0.000, 0.000], [0.000, 5.412, 0.000], [0.000, 0.000, 5.352]], "species": ["K", "Ag", "W", "Cl", "Cl"], "frac_coords": [[0.000, 0.000, 0.000], [0.500, 0.500, 0.500], [0.500, 0.500, 0.000], [0.000, 0.500, 0.500], [0.500, 0.000, 0.500]]}

***

No. 4
{"formula": "KY2AgCl8", "functional": "GGA-PBE", "state": "relaxed", "space_group": "No. 10", "formation_energy_uncorrected_ev_per_atom": -1.9036, "lattice": [[6.628, 0.000, 0.000], [0.000, 8.248, 0.000], [-0.654, 0.000, 6.819]], "species": ["K", "Y", "Y", "Ag", "Cl", "Cl", "Cl", "Cl", "Cl", "Cl", "Cl", "Cl"], "frac_coords": [[0.000, 0.000, 0.000], [0.500, 0.257, 0.500], [0.500, 0.743, 0.500], [0.000, 0.500, 0.000], [0.249, 0.274, 0.183], [0.249, 0.726, 0.183], [0.289, 0.500, 0.647], [0.298, 0.000, 0.639], [0.702, 0.000, 0.361], [0.711, 0.500, 0.353], [0.751, 0.274, 0.817], [0.751, 0.726, 0.817]]}

***

No. 5
{"formula": "K2YAgCl6", "functional": "GGA-PBE", "state": "relaxed", "de_polymorph_ev_per_fu": 0.42, "space_group": "No. 225", "formation_energy_uncorrected_ev_per_atom": -1.7740, "lattice": [[0.000, 5.354, 5.354], [5.354, 0.000, 5.354], [5.354, 5.354, 0.000]], "species": ["K", "K", "Y", "Ag", "Cl", "Cl", "Cl", "Cl", "Cl", "Cl"], "frac_coords": [[0.250, 0.250, 0.250], [0.750, 0.750, 0.750], [0.000, 0.000, 0.000], [0.500, 0.500, 0.500], [0.246, 0.246, 0.754], [0.246, 0.754, 0.246], [0.246, 0.754, 0.754], [0.754, 0.246, 0.246], [0.754, 0.246, 0.754], [0.754, 0.754, 0.246]]}

***

No. 6
{"formula": "K2YAgCl6", "functional": "GGA-PBE", "state": "relaxed", "de_polymorph_ev_per_fu": 0.00, "space_group": "No. 14", "formation_energy_uncorrected_ev_per_atom": -1.8158, "lattice": [[7.320, 0.000, 0.000], [0.000, 7.692, 0.000], [-7.198, 0.000, 10.283]], "species": ["K", "K", "K", "K", "Y", "Y", "Ag", "Ag", "Cl", "Cl", "Cl", "Cl", "Cl", "Cl", "Cl", "Cl", "Cl", "Cl", "Cl", "Cl"], "frac_coords": [[0.227, 0.072, 0.249], [0.227, 0.428, 0.749], [0.773, 0.572, 0.251], [0.773, 0.928, 0.751], [0.500, 0.000, 0.000], [0.500, 0.500, 0.500], [0.000, 0.000, 0.500], [0.000, 0.500, 0.000], [0.157, 0.190, 0.950], [0.157, 0.310, 0.450], [0.263, 0.711, 0.949], [0.263, 0.789, 0.449], [0.351, 0.027, 0.751], [0.351, 0.473, 0.251], [0.649, 0.527, 0.749], [0.649, 0.973, 0.249], [0.737, 0.211, 0.551], [0.737, 0.289, 0.051], [0.843, 0.690, 0.550], [0.843, 0.810, 0.050]]}

***

No. 7
{"formula": "K3YAg2Cl9", "functional": "GGA-PBE", "state": "relaxed", "space_group": "No. 164", "formation_energy_uncorrected_ev_per_atom": -1.5133, "lattice": [[7.429, 0.000, 0.000], [-3.714, 6.433, 0.000], [0.000, 0.000, 9.263]], "species": ["K", "K", "K", "Y", "Ag", "Ag", "Cl", "Cl", "Cl", "Cl", "Cl", "Cl", "Cl", "Cl", "Cl"], "frac_coords": [[0.000, 0.000, 0.000], [0.333, 0.667, 0.720], [0.667, 0.333, 0.280], [0.000, 0.000, 0.500], [0.333, 0.667, 0.158], [0.667, 0.333, 0.842], [0.000, 0.500, 0.000], [0.165, 0.329, 0.332], [0.165, 0.835, 0.332], [0.329, 0.165, 0.668], [0.500, 0.000, 0.000], [0.500, 0.500, 0.000], [0.671, 0.835, 0.332], [0.835, 0.165, 0.668], [0.835, 0.671, 0.668]]}

***

No. 8
{"formula": "K2ZnAgCl5", "functional": "GGA-PBE", "state": "relaxed", "space_group": "No. 36", "formation_energy_uncorrected_ev_per_atom": -1.3500, "lattice": [[2.008, -9.686, 0.000], [2.008, 9.686, 0.000], [0.000, 0.000, 12.840]], "species": ["K", "K", "K", "K", "Zn", "Zn", "Ag", "Ag", "Cl", "Cl", "Cl", "Cl", "Cl", "Cl", "Cl", "Cl", "Cl", "Cl"], "frac_coords": [[0.126, 0.874, 0.500], [0.129, 0.871, 0.867], [0.871, 0.129, 0.367], [0.874, 0.126, 0.000], [0.436, 0.564, 0.618], [0.564, 0.436, 0.118], [0.226, 0.774, 0.222], [0.774, 0.226, 0.722], [0.040, 0.960, 0.209], [0.295, 0.705, 0.853], [0.323, 0.677, 0.570], [0.358, 0.642, 0.185], [0.495, 0.505, 0.464], [0.505, 0.495, 0.964], [0.642, 0.358, 0.685], [0.677, 0.323, 0.070], [0.705, 0.295, 0.353], [0.960, 0.040, 0.709]]}

***

No. 9
{"formula": "KZnAgCl2", "functional": "GGA-PBE", "state": "relaxed", "space_group": "No. 123", "formation_energy_uncorrected_ev_per_atom": -0.6815, "lattice": [[5.193, 0.000, 0.000], [0.000, 5.193, 0.000], [0.000, 0.000, 5.076]], "species": ["K", "Zn", "Ag", "Cl", "Cl"], "frac_coords": [[0.000, 0.000, 0.000], [0.500, 0.500, 0.500], [0.500, 0.500, 0.000], [0.000, 0.500, 0.500], [0.500, 0.000, 0.500]]}

***

No. 10
{"formula": "KZn4Ag3Cl12", "functional": "GGA-PBE", "state": "relaxed", "space_group": "No. 155", "formation_energy_uncorrected_ev_per_atom": -0.9523, "lattice": [[7.034, 4.061, 3.458], [-7.034, 4.061, 3.458], [0.000, -8.122, 3.458]], "species": ["K", "Zn", "Zn", "Zn", "Zn", "Ag", "Ag", "Ag", "Cl", "Cl", "Cl", "Cl", "Cl", "Cl", "Cl", "Cl", "Cl", "Cl", "Cl", "Cl"], "frac_coords": [[0.000, 0.000, 0.000], [0.060, 0.500, 0.940], [0.500, 0.500, 0.500], [0.500, 0.940, 0.060], [0.940, 0.060, 0.500], [0.000, 0.554, 0.446], [0.446, 0.000, 0.554], [0.554, 0.446, 0.000], [0.053, 0.659, 0.784], [0.097, 0.903, 0.500], [0.216, 0.341, 0.947], [0.341, 0.947, 0.216], [0.343, 0.657, 0.500], [0.500, 0.097, 0.903], [0.500, 0.343, 0.657], [0.657, 0.500, 0.343], [0.659, 0.784, 0.053], [0.784, 0.053, 0.659], [0.903, 0.500, 0.097], [0.947, 0.216, 0.341]]}

***

No. 11
{"formula": "K3Zn2AgCl9", "functional": "GGA-PBE", "state": "relaxed", "space_group": "No. 164", "formation_energy_uncorrected_ev_per_atom": -1.2491, "lattice": [[7.100, 0.000, 0.000], [-3.550, 6.148, 0.000], [0.000, 0.000, 8.742]], "species": ["K", "K", "K", "Zn", "Zn", "Ag", "Cl", "Cl", "Cl", "Cl", "Cl", "Cl", "Cl", "Cl", "Cl"], "frac_coords": [[0.000, 0.000, 0.000], [0.333, 0.667, 0.666], [0.667, 0.333, 0.334], [0.333, 0.667, 0.163], [0.667, 0.333, 0.837], [0.000, 0.000, 0.500], [0.000, 0.500, 0.000], [0.172, 0.344, 0.326], [0.172, 0.828, 0.326], [0.344, 0.172, 0.674], [0.500, 0.000, 0.000], [0.500, 0.500, 0.000], [0.656, 0.828, 0.326], [0.828, 0.172, 0.674], [0.828, 0.656, 0.674]]}

***

No. 12
{"formula": "K3ZnAg2Cl9", "functional": "GGA-PBE", "state": "relaxed", "space_group": "No. 164", "formation_energy_uncorrected_ev_per_atom": -1.1351, "lattice": [[7.168, 0.000, 0.000], [-3.584, 6.208, 0.000], [0.000, 0.000, 8.809]], "species": ["K", "K", "K", "Zn", "Ag", "Ag", "Cl", "Cl", "Cl", "Cl", "Cl", "Cl", "Cl", "Cl", "Cl"], "frac_coords": [[0.000, 0.000, 0.000], [0.333, 0.667, 0.658], [0.667, 0.333, 0.342], [0.000, 0.000, 0.500], [0.333, 0.667, 0.169], [0.667, 0.333, 0.831], [0.000, 0.500, 0.000], [0.162, 0.324, 0.338], [0.162, 0.838, 0.338], [0.324, 0.162, 0.662], [0.500, 0.000, 0.000], [0.500, 0.500, 0.000], [0.676, 0.838, 0.338], [0.838, 0.162, 0.662], [0.838, 0.676, 0.662]]}

***

| no. | E (eV/atom) |
| --- | --- |
| 1 | -3.734 |
| 2 | -4.121 |
| 3 | -3.477 |
| 4 | -4.541 |
| 5 | -4.033 |
| 6 | -4.075 |
| 7 | -3.652 |
| 8 | -3.078 |
| 9 | -2.465 |
| 10 | -2.798 |
| 11 | -2.937 |
| 12 | -2.928 |